Below is a relaxed structure of Sr2DyPaP4, with properties calculated at the PBE-GGA level.

Cell: 7.141 4.173 7.347 Å, 90.00 108.92 90.00°
Space group P2/m (No. 10)
Unique sites:
Sr 0.000 0.000 0.000 (multiplicity 1)
Sr 0.500 0.500 0.000 (multiplicity 1)
Dy 0.000 0.500 0.500 (multiplicity 1)
Pa 0.500 0.000 0.500 (multiplicity 1)
P 0.250 0.000 0.717 (multiplicity 2)
P 0.269 0.500 0.285 (multiplicity 2)

Results
The density of states at the Fermi level is 0.002 states/eV/atom. As for the formation energy: -1.32 eV/atom. The total DFT energy (no corrections) is -6.203 eV/atom. Its volume is 25.9 A^3/atom.

Below is a relaxed structure of Pu3ZrO, with properties calculated at the PBE-GGA level.

Cell: 4.811 4.811 4.811 Å, 90.00 90.00 90.00°
Space group Pm-3m (No. 221)
Unique sites:
Pu 0.000 0.000 0.500 (multiplicity 3)
Zr 0.500 0.500 0.500 (multiplicity 1)
O 0.000 0.000 0.000 (multiplicity 1)

Results
The density of states at the Fermi level is 4.130 states/eV/atom. Its formation energy from raw total energies is -0.78 eV/atom. The total DFT energy (no corrections) is -12.077 eV/atom. Its volume is 22.3 A^3/atom.

Below is a relaxed structure of NaLiCeI6, with properties calculated at the PBE-GGA level.

Cell: 7.6621 7.6621 14.4436 Å, 90.00 90.00 120.00°
Space group P-31c (No. 163)
Unique sites:
Na 0.0000 0.0000 0.0000 (multiplicity 2)
Li 0.3333 0.6667 0.2500 (multiplicity 2)
Ce 0.3333 0.6667 0.7500 (multiplicity 2)
I 0.0013 0.3521 0.1299 (multiplicity 12)

Results
Its formation energy from raw total energies is -1.17 eV/atom. The total DFT energy (no corrections) is -3.217 eV/atom. Its volume is 40.8 A^3/atom.

Below is a relaxed structure of Ca3MgP, with properties calculated at the PBE-GGA level.

Cell: 4.546 7.166 9.510 Å, 90.00 90.00 90.00°
Space group Pmmn (No. 59, origin choice 2)
Unique sites:
Ca 0.250 0.001 0.149 (multiplicity 4)
Ca 0.250 0.750 0.595 (multiplicity 2)
Mg 0.250 0.250 0.644 (multiplicity 2)
P 0.250 0.750 0.904 (multiplicity 2)

Results
The density of states at the Fermi level is 0.456 states/eV/atom. As for the formation energy: -0.51 eV/atom. The total DFT energy (no corrections) is -3.109 eV/atom. Its volume is 31.0 A^3/atom. The calculation puts the energy above the most stable polymorph in this dataset at 0.0598 eV per atom.

Below is a relaxed structure of NaNb2Pt, with properties calculated at the PBE-GGA level.

Cell: 6.557 6.557 6.557 Å, 90.00 90.00 90.00°
Space group Fm-3m (No. 225)
Unique sites:
Na 0.000 0.000 0.000 (multiplicity 4)
Nb 0.250 0.250 0.250 (multiplicity 8)
Pt 0.000 0.000 0.500 (multiplicity 4)

Results
The density of states at the Fermi level is 1.510 states/eV/atom. As for the formation energy: 0.41 eV/atom. The total DFT energy (no corrections) is -6.464 eV/atom. Its volume is 17.6 A^3/atom. The calculation puts the energy above the most stable polymorph in this dataset at 0.0000 eV per atom.

Below is a relaxed structure of TaTcMo2, with properties calculated at the PBE-GGA level.

Cell: 3.177 4.461 9.059 Å, 90.00 90.00 90.00°
Space group Immm (No. 71)
Unique sites:
Ta 0.000 0.000 0.000 (multiplicity 2)
Tc 0.000 0.000 0.500 (multiplicity 2)
Mo 0.000 0.500 0.249 (multiplicity 4)

Results
The density of states at the Fermi level is 0.605 states/eV/atom. As for the formation energy: -0.16 eV/atom. The total DFT energy (no corrections) is -11.134 eV/atom. Its volume is 16.0 A^3/atom. The calculation puts the energy above the most stable polymorph in this dataset at 0.0143 eV per atom.